Record 1
Entry from Alexandria via LeMat-Bulk: YPb2Se after structural relaxation (GGA-PBEsol).

Structure (POSCAR):
```
YPb2Se
1.0
5.9757 0.0000 0.0000
0.0000 4.2035 0.1503
0.0000 -0.1500 4.2035
Se Pb Y
1 2 1
direct
0.5000 0.0000 0.0000 Se
0.0000 0.0000 0.5000 Pb
0.0000 0.5000 0.0000 Pb
0.5000 0.5000 0.5000 Y
```

Output
Formation energy (no corrections) (meV/atom): -563.9
Fermi-level density of states (states/eV/cell): 2.33
Total magnetic moment (μB/cell): 0.00



Record 2
Entry from Alexandria via LeMat-Bulk: SbAsCl3 after structural relaxation (GGA-PBEsol).

Structure (POSCAR):
```
SbAsCl3
1.0
5.2560 0.0000 0.0000
0.0000 5.2560 0.0000
0.0000 0.0000 5.2560
Cl Sb As
3 1 1
direct
0.0000 0.0000 0.5000 Cl
0.5000 0.0000 0.0000 Cl
0.0000 0.5000 0.0000 Cl
0.0000 0.0000 0.0000 Sb
0.5000 0.5000 0.5000 As
```

Output
Formation energy (no corrections) (meV/atom): 51.7
Fermi-level density of states (states/eV/cell): 4.18
Total magnetic moment (μB/cell): 2.89



Record 3
Entry from Alexandria via LeMat-Bulk: Ga2Sn2Se after structural relaxation (GGA-PBEsol).

Structure (POSCAR):
```
Ga2Sn2Se
1.0
-4.2571 0.2180 -1.6184
0.7850 -3.6893 -2.5617
-0.0432 -1.5823 6.3234
Sn Ga Se
2 2 1
direct
0.2500 0.7500 0.5000 Sn
0.7500 0.2500 0.5000 Sn
0.6032 0.6032 0.2065 Ga
0.3968 0.3968 0.7935 Ga
0.0000 0.0000 0.0000 Se
```

Output
Formation energy (no corrections) (meV/atom): 129.8
Fermi-level density of states (states/eV/cell): 2.84
Total magnetic moment (μB/cell): 0.00



Record 4
Entry from Alexandria via LeMat-Bulk: Y2TlCl after structural relaxation (GGA-PBEsol).

Structure (POSCAR):
```
Y2TlCl
1.0
3.3981 0.0000 0.0000
0.0000 3.3981 0.0000
0.0000 0.0000 7.9478
Y Tl Cl
2 1 1
direct
0.0000 0.0000 0.7611 Y
0.0000 0.0000 0.2389 Y
0.5000 0.5000 0.5000 Tl
0.5000 0.5000 0.0000 Cl
```

Output
Formation energy (no corrections) (meV/atom): -767.3
Fermi-level density of states (states/eV/cell): 3.70
Total magnetic moment (μB/cell): 0.00



Record 5
Entry from Alexandria via LeMat-Bulk: LiYIn2 after structural relaxation (GGA-PBEsol).

Structure (POSCAR):
```
LiYIn2
1.0
4.6158 0.0000 0.0000
2.3079 3.9974 0.0000
2.3079 1.3325 5.0354
Y Li In
1 1 2
direct
0.5000 0.5000 0.5000 Y
0.0000 0.0000 0.0000 Li
0.7186 0.7186 0.8443 In
0.2814 0.2814 0.1557 In
```

Output
Fermi-level density of states (states/eV/cell): 1.44
Formation energy (meV/atom): -419
Total magnetic moment (μB/cell): 0.00



Record 6
Entry from Alexandria via LeMat-Bulk: Be3HgF after structural relaxation (GGA-PBEsol).

Structure (POSCAR):
```
Be3HgF
1.0
-2.6604 -0.5631 -2.6878
-1.3582 -2.9826 1.9694
-2.3867 2.3251 1.8753
F Be Hg
1 3 1
direct
0.0000 0.0000 0.0000 F
0.0000 0.5000 0.0000 Be
0.0000 0.0000 0.5000 Be
0.5000 0.0000 0.0000 Be
0.5000 0.5000 0.5000 Hg
```

Output
Formation energy (no corrections) (meV/atom): 55.7
Fermi-level density of states (states/eV/cell): 1.85
Total magnetic moment (μB/cell): 0.00



Record 7
Entry from Alexandria via LeMat-Bulk: LiAg2As after structural relaxation (GGA-PBEsol).

Structure (POSCAR):
```
LiAg2As
1.0
4.1169 0.0000 0.0000
0.0000 4.1169 0.0000
-2.0584 -2.0584 3.8321
Ag As Li
2 1 1
direct
0.0000 0.0000 0.0000 Ag
0.2500 0.7500 0.5000 Ag
0.5000 0.5000 0.0000 As
0.7500 0.2500 0.5000 Li
```

Output
Fermi-level density of states (states/eV/cell): 0.92
Formation energy (meV/atom): -178
Total magnetic moment (μB/cell): 0.00



Record 8
Entry from Alexandria via LeMat-Bulk: LiCo3P3O13 after structural relaxation (GGA-PBEsol).

Structure (POSCAR):
```
LiCo3P3O13
1.0
5.9739 0.0000 0.0000
0.0000 7.1855 -0.0184
0.0000 -1.9370 9.9338
O Co P Li
26 6 6 2
direct
0.5502 0.2704 0.5658 O
0.2500 0.9973 0.5994 O
0.7500 0.3418 0.3657 O
0.9443 0.6063 0.8038 O
0.4664 0.1959 0.9011 O
0.9664 0.8041 0.0989 O
0.2500 0.6582 0.6343 O
0.0557 0.3937 0.1962 O
0.7500 0.0027 0.4006 O
0.2500 0.3569 0.7387 O
0.0502 0.7296 0.4342 O
0.7500 0.1280 0.0959 O
0.7500 0.9182 0.8851 O
0.2500 0.0818 0.1149 O
0.5336 0.8041 0.0989 O
0.0336 0.1959 0.9011 O
0.2500 0.8720 0.9041 O
0.7500 0.7956 0.6384 O
0.9498 0.2704 0.5658 O
0.7500 0.6431 0.2613 O
0.4498 0.7296 0.4342 O
0.2500 0.2044 0.3616 O
0.7500 0.4901 0.0384 O
0.5557 0.6063 0.8038 O
0.4443 0.3937 0.1962 O
0.2500 0.5099 0.9616 O
0.2500 0.6306 0.8092 Co
0.2500 0.2449 0.5523 Co
0.0000 0.0000 0.0000 Co
0.7500 0.7551 0.4477 Co
0.7500 0.3694 0.1908 Co
0.5000 0.0000 0.0000 Co
0.7500 0.6980 0.1191 P
0.7500 0.2106 0.4679 P
0.7500 0.7294 0.7718 P
0.2500 0.7894 0.5321 P
0.2500 0.2706 0.2282 P
0.2500 0.3020 0.8809 P
0.2500 0.6477 0.1436 Li
0.7500 0.3523 0.8564 Li
```

Output
Formation energy (no corrections) (meV/atom): -1652.9
Fermi-level density of states (states/eV/cell): 15.09
Total magnetic moment (μB/cell): 6.26



Record 9
Entry from Alexandria via LeMat-Bulk: Li4VP6H8O22 after structural relaxation (GGA-PBEsol).

Structure (POSCAR):
```
Li4VP6H8O22
1.0
6.8763 -0.2355 0.1443
0.2798 7.2228 -0.3929
2.0967 0.0946 8.5411
O P Li H V
22 6 4 8 1
direct
0.0623 0.9599 0.2176 O
0.7996 0.7421 0.6788 O
0.4396 0.0067 0.1724 O
0.5604 0.9933 0.8276 O
0.6212 0.2296 0.3768 O
0.8169 0.3867 0.5598 O
0.2250 0.9596 0.4461 O
0.1785 0.7600 0.9065 O
0.1831 0.6133 0.4402 O
0.7571 0.8152 0.0683 O
0.2429 0.1848 0.9317 O
0.7750 0.0404 0.5539 O
0.5279 0.7558 0.3339 O
0.5904 0.3329 0.9073 O
0.2004 0.2579 0.3212 O
0.9475 0.5516 0.2167 O
0.8215 0.2400 0.0935 O
0.4096 0.6671 0.0927 O
0.4721 0.2442 0.6661 O
0.9377 0.0401 0.7824 O
0.3788 0.7704 0.6232 O
0.0525 0.4484 0.7833 O
0.3203 0.7636 0.4729 P
0.7835 0.9450 0.7155 P
0.4608 0.1977 0.8471 P
0.2165 0.0550 0.2845 P
0.6797 0.2364 0.5271 P
0.5392 0.8023 0.1529 P
0.1185 0.3755 0.5448 Li
0.7751 0.5052 0.7766 Li
0.8815 0.6245 0.4552 Li
0.2249 0.4948 0.2234 Li
0.2725 0.7278 0.9728 H
0.9124 0.6564 0.1589 H
0.8990 0.4383 0.1686 H
0.2655 0.7777 0.7943 H
0.1010 0.5617 0.8314 H
0.0876 0.3436 0.8411 H
0.7345 0.2223 0.2057 H
0.7275 0.2722 0.0272 H
0.0000 0.0000 0.0000 V
```

Output
DFT total energy (eV per atom): -6.61
Total magnetic moment (μB/cell): 3.00



Record 10
Entry from Alexandria via LeMat-Bulk: Sc2Tc after structural relaxation (GGA-PBEsol).

Structure (POSCAR):
```
Sc2Tc
1.0
-0.8640 3.3579 0.1390
-6.1604 -1.4212 -3.9586
-0.1879 -0.3568 7.4483
Sc Tc
6 3
direct
0.5000 0.6071 0.0000 Sc
0.5000 0.3929 0.3929 Sc
0.0000 0.2721 0.0000 Sc
0.0000 0.0000 0.2721 Sc
0.0000 0.7279 0.7279 Sc
0.5000 0.0000 0.6071 Sc
0.0000 0.6667 0.3333 Tc
0.0000 0.3333 0.6667 Tc
0.5000 0.0000 0.0000 Tc
```

Output
Fermi-level density of states (states/eV/cell): 5.28
Formation energy (meV/atom): -119
Total magnetic moment (μB/cell): 0.00



Record 11
Entry from Alexandria via LeMat-Bulk: Tl2HgMo after structural relaxation (GGA-PBEsol).

Structure (POSCAR):
```
Tl2HgMo
1.0
-1.1835 -0.7892 -2.5665
-2.9521 -3.0355 2.2947
-2.4609 6.7737 0.7293
Hg Tl Mo
1 2 1
direct
0.5668 0.5673 0.1337 Hg
0.9377 0.9372 0.8755 Tl
0.7454 0.2454 0.4908 Tl
0.2500 0.7501 0.5001 Mo
```

Output
Fermi-level density of states (states/eV/cell): 2.40
Formation energy (meV/atom): 524
Total magnetic moment (μB/cell): 0.34



Record 12
Entry from Alexandria via LeMat-Bulk: TlZnAg2 after structural relaxation (GGA-PBEsol).

Structure (POSCAR):
```
TlZnAg2
1.0
3.2531 0.0000 0.0000
0.0000 4.9007 -0.1072
-1.6266 -0.9688 4.6262
Ag Zn Tl
2 1 1
direct
0.2569 0.7693 0.5138 Ag
0.0053 0.0137 0.0106 Ag
0.7408 0.2127 0.4816 Zn
0.4970 0.5043 0.9940 Tl
```

Output
Fermi-level density of states (states/eV/cell): 1.09
Formation energy (meV/atom): 120
Total magnetic moment (μB/cell): 0.00



Record 13
Entry from Alexandria via LeMat-Bulk: Li5Al after structural relaxation (GGA-PBEsol).

Structure (POSCAR):
```
Li5Al
1.0
-0.3836 -3.4969 -2.0236
0.5419 -2.1510 3.6144
-5.8431 1.8514 1.9779
Li Al
5 1
direct
0.8353 0.0000 0.6706 Li
0.6567 0.5000 0.3135 Li
0.1647 0.0000 0.3294 Li
0.0000 0.5000 0.0000 Li
0.3433 0.5000 0.6865 Li
0.5000 0.0000 0.0000 Al
```

Output
Fermi-level density of states (states/eV/cell): 2.66
Formation energy (meV/atom): -39
Total magnetic moment (μB/cell): 0.00



Record 14
Entry from Alexandria via LeMat-Bulk: BaRe2Br after structural relaxation (GGA-PBEsol).

Structure (POSCAR):
```
BaRe2Br
1.0
3.1655 0.0000 0.0000
0.0000 4.6269 0.0000
0.0000 0.0000 6.3155
Br Re Ba
1 2 1
direct
0.0000 0.5000 0.5000 Br
0.0000 0.0000 0.0000 Re
0.5000 0.5000 0.0000 Re
0.5000 0.0000 0.5000 Ba
```

Output
Formation energy (no corrections) (meV/atom): 1103.1
Fermi-level density of states (states/eV/cell): 4.46
Total magnetic moment (μB/cell): 1.19



Record 15
Entry from Alexandria via LeMat-Bulk: CdNiAu after structural relaxation (GGA-PBEsol).

Structure (POSCAR):
```
CdNiAu
1.0
4.2824 0.0000 0.0000
2.1412 3.7087 0.0000
2.1412 1.2362 3.4966
Ni Au Cd
1 1 1
direct
0.0000 0.0000 0.0000 Ni
0.5000 0.5000 0.5000 Au
0.2500 0.2500 0.2500 Cd
```

Output
Fermi-level density of states (states/eV/cell): 1.28
Formation energy (meV/atom): 444
Total magnetic moment (μB/cell): 0.00



Record 16
Entry from Alexandria via LeMat-Bulk: PtRh2Au after structural relaxation (GGA-PBEsol).

Structure (POSCAR):
```
PtRh2Au
1.0
-1.9454 -0.7425 -1.8134
1.3048 -2.3972 -0.4183
-4.0800 -3.2142 5.6932
Rh Au Pt
2 1 1
direct
0.0000 0.0000 0.2617 Rh
0.0000 0.0000 0.7383 Rh
0.5000 0.5000 0.0000 Au
0.5000 0.5000 0.5000 Pt
```

Output
Fermi-level density of states (states/eV/cell): 4.90
Formation energy (meV/atom): 89
Total magnetic moment (μB/cell): 0.00



Record 17
Entry from Alexandria via LeMat-Bulk: Bi2TeIClO8 after structural relaxation (GGA-PBEsol).

Structure (POSCAR):
```
Bi2TeIClO8
1.0
5.3082 0.0000 0.0000
-2.6541 10.8992 0.0369
0.0000 -3.7574 14.5575
I Cl O Te Bi
4 4 32 4 8
direct
0.8063 0.1227 0.6583 I
0.8944 0.1885 0.9602 I
0.3164 0.1227 0.1583 I
0.2941 0.1885 0.4602 I
0.1221 0.3909 0.3995 Cl
0.2688 0.3909 0.8995 Cl
0.0869 0.9595 0.8912 Cl
0.8726 0.9595 0.3912 Cl
0.3879 0.5414 0.2469 O
0.1031 0.1024 0.7064 O
0.7726 0.5695 0.0155 O
0.8278 0.2922 0.7018 O
0.0076 0.8316 0.5524 O
0.2568 0.6224 0.1093 O
0.5998 0.0728 0.7496 O
0.8130 0.7352 0.6866 O
0.4125 0.7945 0.7824 O
0.5291 0.8654 0.5900 O
0.8571 0.4870 0.2016 O
0.4115 0.0746 0.5088 O
0.9993 0.1024 0.2064 O
0.3657 0.6224 0.6093 O
0.7291 0.3173 0.9896 O
0.1534 0.5414 0.7469 O
0.7970 0.5695 0.5155 O
0.3363 0.8654 0.0900 O
0.9222 0.7352 0.1866 O
0.6631 0.0746 0.0088 O
0.8240 0.8316 0.0524 O
0.4730 0.0728 0.2496 O
0.0911 0.2376 0.5541 O
0.5194 0.6835 0.4394 O
0.5882 0.3173 0.4896 O
0.1641 0.6835 0.9394 O
0.6621 0.6631 0.8549 O
0.1465 0.2376 0.0541 O
0.4644 0.2922 0.2018 O
0.3820 0.7945 0.2824 O
0.0010 0.6631 0.3549 O
0.6299 0.4870 0.7016 O
0.6803 0.7195 0.5605 Te
0.1376 0.6343 0.2354 Te
0.4967 0.6343 0.7354 Te
0.0392 0.7195 0.0605 Te
0.9220 0.4377 0.5983 Bi
0.2360 0.9100 0.7053 Bi
0.6740 0.9100 0.2053 Bi
0.3004 0.8436 0.4419 Bi
0.8673 0.5015 0.8571 Bi
0.6342 0.5015 0.3571 Bi
0.5431 0.8436 0.9419 Bi
0.5156 0.4377 0.0983 Bi
```

Output
Formation energy (no corrections) (meV/atom): -955.1
Fermi-level density of states (states/eV/cell): 0.00
Total magnetic moment (μB/cell): 0.00



Record 18
Entry from Alexandria via LeMat-Bulk: Cd2InPb after structural relaxation (GGA-PBEsol).

Structure (POSCAR):
```
Cd2InPb
1.0
3.5270 0.0000 0.0000
0.0000 5.3478 0.0000
-1.7635 -2.6739 5.2955
Cd In Pb
2 1 1
direct
0.7427 0.2427 0.4854 Cd
0.0145 0.0145 0.0289 Cd
0.4867 0.4867 0.9734 In
0.2562 0.7562 0.5123 Pb
```

Output
Fermi-level density of states (states/eV/cell): 1.96
Formation energy (meV/atom): 73
Total magnetic moment (μB/cell): 0.00



Record 19
Entry from Alexandria via LeMat-Bulk: TlCoTc after structural relaxation (GGA-PBEsol).

Structure (POSCAR):
```
TlCoTc
1.0
2.8658 0.0000 0.0000
-1.4329 2.4819 0.0000
0.0000 0.0000 6.5294
Tl Co Tc
1 1 1
direct
0.6667 0.3333 0.3228 Tl
0.0000 0.0000 0.9781 Co
0.3333 0.6667 0.6992 Tc
```

Output
Fermi-level density of states (states/eV/cell): 3.93
Formation energy (meV/atom): 627
Total magnetic moment (μB/cell): 0.93



Record 20
Entry from Alexandria via LeMat-Bulk: TlAgSb after structural relaxation (GGA-PBEsol).

Structure (POSCAR):
```
TlAgSb
1.0
-2.9618 1.3204 3.6536
1.3133 -0.8319 4.6312
1.2173 3.7361 2.9024
Sb Tl Ag
1 1 1
direct
0.2500 0.2500 0.2500 Sb
0.0000 0.0000 0.0000 Tl
0.5000 0.5000 0.5000 Ag
```

Output
Formation energy (no corrections) (meV/atom): 246.5
Fermi-level density of states (states/eV/cell): 2.31
Total magnetic moment (μB/cell): 0.00



Record 21
Entry from Alexandria via LeMat-Bulk: Hg2SeNF after structural relaxation (GGA-PBEsol).

Structure (POSCAR):
```
Hg2SeNF
1.0
3.8282 0.0000 0.0000
0.0000 4.6319 0.0000
0.0000 0.0000 4.6319
Hg N Se F
2 1 1 1
direct
0.0000 0.5000 0.0000 Hg
0.0000 0.0000 0.5000 Hg
0.0000 0.0000 0.0000 N
0.5000 0.5000 0.5000 Se
0.5000 0.0000 0.0000 F
```

Output
Formation energy (no corrections) (meV/atom): 409.4
Fermi-level density of states (states/eV/cell): 2.67
Total magnetic moment (μB/cell): 0.00



Record 22
Entry from Alexandria via LeMat-Bulk: La2Au after structural relaxation (GGA-PBEsol).

Structure (POSCAR):
```
La2Au
1.0
-1.2761 0.4326 3.4918
-5.0798 0.4166 -1.9081
-0.3020 -8.5326 -1.0590
La Au
4 2
direct
0.0697 0.2500 0.1394 La
0.2269 0.7500 0.4538 La
0.7731 0.2500 0.5462 La
0.9303 0.7500 0.8606 La
0.5836 0.7500 0.1673 Au
0.4164 0.2500 0.8327 Au
```

Output
Fermi-level density of states (states/eV/cell): 7.07
Formation energy (meV/atom): -467
Total magnetic moment (μB/cell): 0.00



Record 23
Entry from Alexandria via LeMat-Bulk: YZrBr2 after structural relaxation (GGA-PBEsol).

Structure (POSCAR):
```
YZrBr2
1.0
-1.5504 -2.9488 0.8306
4.6599 -2.4101 0.1415
0.9949 2.2002 4.7100
Y Br Zr
1 2 1
direct
0.5154 0.0000 0.5143 Y
0.1534 0.0000 0.9599 Br
0.7474 0.5000 0.2291 Br
0.0837 0.5000 0.7967 Zr
```

Output
Formation energy (no corrections) (meV/atom): -739.8
Fermi-level density of states (states/eV/cell): 2.76
Total magnetic moment (μB/cell): 0.00